Entry 1:
# LiSiPd3

An optimized crystal structure of LiSiPd3 (PBE, Alexandria via LeMat-Bulk).

Properties
Relative energy among the computed polymorphs = 0.051 eV per atom
Formation energy from raw total energies = -0.568 eV/atom

Lattice parameters (Å, degrees): 4.617 5.356 6.486 97.90 107.57 103.26
Element x y z (fractional)
Li 0.055 0.361 0.162
Li 0.945 0.639 0.838
Si 0.421 0.197 0.657
Si 0.579 0.803 0.343
Pd 0.077 0.923 0.282
Pd 0.333 0.639 0.597
Pd 0.500 0.000 0.000
Pd 0.500 0.500 0.000
Pd 0.667 0.361 0.403
Pd 0.923 0.077 0.718



Entry 2:
# Be2AgBr

An optimized crystal structure of Be2AgBr (PBE, Alexandria via LeMat-Bulk).

Properties
Relative energy among the computed polymorphs = 0.235 eV per atom
Formation energy from raw total energies = 0.413 eV/atom

Lattice parameters (Å, degrees): 7.707 7.707 7.707 155.42 155.33 35.10
Element x y z (fractional)
Be 0.000 0.000 0.000
Be 0.863 0.363 0.500
Ag 0.499 0.499 0.000
Br 0.284 0.784 0.500



Entry 3:
# SnBI2

An optimized crystal structure of SnBI2 (PBE, Alexandria via LeMat-Bulk).

Properties
Relative energy among the computed polymorphs = 0.000 eV per atom
Formation energy from raw total energies = 0.970 eV/atom

Lattice parameters (Å, degrees): 5.432 5.432 5.432 60.00 60.00 60.00
Element x y z (fractional)
Sn 0.000 0.000 0.000
B 0.500 0.500 0.500
I 0.250 0.250 0.250
I 0.750 0.750 0.750



Entry 4:
# KNdTe2

An optimized crystal structure of KNdTe2 (PBE, Alexandria via LeMat-Bulk).

Properties
Formation energy from raw total energies = -1.399 eV/atom

Lattice parameters (Å, degrees): 8.847 8.847 8.847 30.09 30.09 30.09
Element x y z (fractional)
K 0.000 0.000 0.000
Nd 0.169 0.169 0.169
Te 0.573 0.573 0.573
Te 0.765 0.765 0.765



Entry 5:
# RbZnW2

An optimized crystal structure of RbZnW2 (PBE, Alexandria via LeMat-Bulk).

Properties
Formation enthalpy at 0 K = 715 kJ/mol of formula units

Lattice parameters (Å, degrees): 10.481 10.481 10.481 153.58 153.58 37.71
Element x y z (fractional)
Rb 0.000 0.000 0.000
Rb 0.750 0.250 0.500
Zn 0.250 0.750 0.500
Zn 0.500 0.500 0.000
W 0.351 0.625 0.226
W 0.375 0.601 0.726
W 0.399 0.125 0.774
W 0.875 0.649 0.274



Entry 6:
# Li2MgZrH

An optimized crystal structure of Li2MgZrH (PBE, Alexandria via LeMat-Bulk).

Lattice parameters (Å, degrees): 4.523 4.523 3.971 90.00 90.00 90.00
Element x y z (fractional)
Li 0.000 0.500 0.000
Li 0.500 0.000 0.000
Mg 0.000 0.000 0.500
Zr 0.500 0.500 0.500
H 0.500 0.500 0.000



Entry 7:
# Re2SiTc

An optimized crystal structure of Re2SiTc (PBE, Alexandria via LeMat-Bulk).

Properties
Formation energy from raw total energies = -0.169 eV/atom

Lattice parameters (Å, degrees): 2.914 2.914 6.589 90.00 90.00 90.00
Element x y z (fractional)
Re 0.000 0.000 0.000
Re 0.500 0.500 0.271
Si 0.000 0.000 0.505
Tc 0.500 0.500 0.728



Entry 8:
# LiIn2Ga2

An optimized crystal structure of LiIn2Ga2 (PBE, Alexandria via LeMat-Bulk).

Properties
Formation enthalpy at 0 K = 0 kJ/mol of formula units
Relative energy among the computed polymorphs = 0.055 eV per atom

Lattice parameters (Å, degrees): 8.145 8.145 3.502 90.00 90.00 90.00
Element x y z (fractional)
Li 0.000 0.000 0.000
Li 0.500 0.500 0.000
In 0.143 0.357 0.000
In 0.357 0.857 0.000
In 0.643 0.143 0.000
In 0.857 0.643 0.000
Ga 0.158 0.658 0.500
Ga 0.342 0.158 0.500
Ga 0.658 0.842 0.500
Ga 0.842 0.342 0.500



no.,theoretical density (g cm⁻³),raw total energy (eV/atom)
1,8.1,-5.151
2,4.3,-2.581
3,5.6,-2.475
4,4.7,-4.437
5,7.6,-5.185
6,2.7,-3.447
7,14.8,-10.340
8,5.4,-2.690